## Pm2Y3PuAs6 (PBE)

Data for Pm2Y3PuAs6 after structural relaxation.

Cell: 9.3019 9.3019 8.3267 Å, 102.86 102.86 25.91°
Last column: nearest neighbours and their distance in Å.
Fractional positions:
Pm1 0.1668 0.1668 0.3344  6 As 2.97-2.98
Pm2 0.8332 0.8332 0.6656  6 As 2.97-2.98
Y1 0.1676 0.1676 0.8333  6 As 2.91-2.94
Y2 0.5000 0.5000 0.5000  6 As 2.92-2.96
Y3 0.8324 0.8324 0.1667  6 As 2.91-2.94
Pu1 0.5000 0.5000 0.0000  6 As 2.93
As1 0.0018 0.0018 0.7533  3 Y 2.93-2.96, 2 Pu 2.93, 1 Pm 2.97
As2 0.3341 0.3341 0.9216  3 Y 2.92-2.94, 1 Pu 2.93, 2 Pm 2.98
As3 0.3348 0.3348 0.4125  3 Y 2.91-2.92, 3 Pm 2.97
As4 0.6652 0.6652 0.5875  3 Y 2.91-2.92, 3 Pm 2.97
As5 0.6659 0.6659 0.0784  3 Y 2.92-2.94, 1 Pu 2.93, 2 Pm 2.98
As6 0.9982 0.9982 0.2467  3 Y 2.93-2.96, 2 Pu 2.93, 1 Pm 2.97

## Properties
The crystal system is monoclinic. The magnetization is 4.865 μB per formula unit. The formation energy is -1448 meV per atom.

## Pr2Mg3In3 (PBE)

Data for Pr2Mg3In3 after structural relaxation.

Cell: 4.7610 4.8171 9.1579 Å, 90.00 90.00 90.00°
Last column: nearest neighbours and their distance in Å.
Fractional positions:
Pr1 0.0000 0.0000 0.2486  6 In 3.29-3.31, 6 Mg 3.33-3.39
Pr2 0.0000 0.0000 0.7514  6 In 3.29-3.31, 6 Mg 3.33-3.39
Mg1 0.0000 0.5000 0.5000  4 Mg 3.32, 4 Pr 3.33, 4 In 3.39
Mg2 0.5000 0.5000 0.2479  6 In 3.29-3.34, 2 Mg 3.32, 4 Pr 3.39
Mg3 0.5000 0.5000 0.7521  6 In 3.29-3.34, 2 Mg 3.32, 4 Pr 3.39
In1 0.0000 0.5000 0.0000  4 Mg 3.29, 4 Pr 3.31, 4 In 3.39
In2 0.5000 0.0000 0.0000  4 Pr 3.29, 4 Mg 3.31, 4 In 3.39
In3 0.5000 0.0000 0.5000  4 Pr 3.31, 8 Mg 3.34-3.39

## Properties
The crystal system is orthorhombic. The magnetization is 0.000 μB per formula unit. The formation energy is -354 meV per atom.

## NaYP2O (PBE)

Data for NaYP2O after structural relaxation.

Cell: 4.8032 4.8032 4.1230 Å, 90.00 90.00 90.00°
Last column: nearest neighbours and their distance in Å.
Fractional positions:
Na1 0.0000 0.0000 0.0000  2 O 2.06
Y1 0.5000 0.5000 0.5000  8 P 3.17, 4 O 3.40
P1 0.0000 0.5000 0.0000  2 Na 2.40
P2 0.5000 0.0000 0.0000  2 Na 2.40
O1 0.0000 0.0000 0.5000  2 Na 2.06

## Properties
The crystal system is tetragonal. The magnetization is 1.337 μB per formula unit. Its final energy is -4.59 eV per atom.

> Look up the magnetization of the second one.

0.000 μB per formula unit

Repeat the third record exactly.
## NaYP2O (PBE)

Data for NaYP2O after structural relaxation.

Cell: 4.8032 4.8032 4.1230 Å, 90.00 90.00 90.00°
Last column: nearest neighbours and their distance in Å.
Fractional positions:
Na1 0.0000 0.0000 0.0000  2 O 2.06
Y1 0.5000 0.5000 0.5000  8 P 3.17, 4 O 3.40
P1 0.0000 0.5000 0.0000  2 Na 2.40
P2 0.5000 0.0000 0.0000  2 Na 2.40
O1 0.0000 0.0000 0.5000  2 Na 2.06

## Properties
The crystal system is tetragonal. The magnetization is 1.337 μB per formula unit. Its final energy is -4.59 eV per atom.

> Look up the magnetization of the third one.

1.337 μB per formula unit

> Look up the magnetization of the third one.

1.337 μB per formula unit